A plane-wave DFT calculation with GGA-PBE was carried out for an optimized crystal structure of NaSnHg2Se4.

Lattice parameters (Å, degrees): 6.4674 6.4676 7.7151 114.79 114.77 90.02
Positions (direct):
1 Sn 0.4998 0.4997 0.9994
2 Hg 0.2500 0.7500 0.4999
3 Na 0.0006 0.0006 0.0012
4 Se 0.3923 0.8635 0.2558
5 Se 0.8635 0.3923 0.2558
6 Hg 0.7500 0.2500 0.5000
7 Se 0.1358 0.1358 0.7442
8 Se 0.6083 0.6083 0.7442

## Properties
- Formation energy from raw total energies: -0.39 eV per atom
- Size of the total moment: 0.00 μB/f.u.
- Electronic total energy: -0.212 Ry/atom

=====

A plane-wave DFT calculation with GGA-PBE was carried out for an optimized crystal structure of Tb2Pr8Cd.

Lattice parameters (Å, degrees): 5.6216 8.2254 9.3739 111.76 107.45 90.00
Positions (direct):
1 Pr 0.6069 0.4328 0.2138
2 Tb 0.8064 0.3448 0.6128
3 Pr 0.6655 0.9137 0.3310
4 Pr 0.0153 0.7526 0.0305
5 Cd 0.5000 0.0000 0.0000
6 Pr 0.8249 0.7803 0.6498
7 Pr 0.3345 0.0863 0.6690
8 Pr 0.3931 0.5672 0.7862
9 Pr 0.1751 0.2197 0.3502
10 Tb 0.1936 0.6552 0.3872
11 Pr 0.9847 0.2474 0.9695

## Properties
- Size of the total moment: 0.00 μB/f.u.
- E above lowest polymorph: 0.63 eV/f.u.
- Electronic total energy: -0.321 Ry/atom
- Formation enthalpy at 0 K: 0.04 eV per atom

=====

A plane-wave DFT calculation with GGA-PBE was carried out for an optimized crystal structure of Nb2HOsPt.

Lattice parameters (Å, degrees): 4.1130 4.1130 3.9729 90.00 90.00 90.00
Positions (direct):
1 Nb 0.0000 0.5000 0.0000
2 Pt 0.5000 0.5000 0.5000
3 Os 0.0000 0.0000 0.5000
4 Nb 0.5000 0.0000 0.0000
5 H 0.0000 0.0000 0.0000

## Properties
- Size of the total moment: 0.00 μB/f.u.
- E above lowest polymorph: 0.00 eV/f.u.
- Electronic total energy: -0.623 Ry/atom